Record 1
This record from the Open Quantum Materials Database describes an optimized crystal structure of TbTmH2Cl4. The functional is PBE-GGA.

a b c (Å): 3.718 3.718 13.321
angles (deg): 90.00 90.00 120.00
Element x y z (fractional)
1 Tm 0.000 0.000 0.500
2 H 0.333 0.667 0.000
3 H 0.667 0.333 0.500
4 Cl 0.333 0.667 0.629
5 Cl 0.333 0.667 0.371
6 Cl 0.667 0.333 0.133
7 Cl 0.667 0.333 0.867
8 Tb 0.000 0.000 0.000

Calculated values
Uncorrected energy (eV/cell): -37.350

***

Record 2
This record from the Open Quantum Materials Database describes an optimized crystal structure of YTmH2Cl4. The functional is PBE-GGA.

a b c (Å): 3.707 3.707 13.395
angles (deg): 90.00 90.00 120.00
Element x y z (fractional)
1 H 0.333 0.667 0.500
2 H 0.667 0.333 0.000
3 Cl 0.667 0.333 0.368
4 Cl 0.333 0.667 0.129
5 Cl 0.333 0.667 0.871
6 Cl 0.667 0.333 0.632
7 Y 0.000 0.000 0.500
8 Tm 0.000 0.000 0.000

Calculated values
Uncorrected energy (eV/cell): -39.139

***

Record 3
This record from the Open Quantum Materials Database describes an optimized crystal structure of HfCl. The functional is PBE-GGA.

a b c (Å): 3.166 3.166 4.261
angles (deg): 90.00 90.00 120.00
Element x y z (fractional)
1 Hf 0.333 0.667 0.250
2 Cl 0.667 0.333 0.750

Calculated values
Uncorrected energy (eV/cell): -12.583

***

Q: What is the formula in the second record?
A: YTmH2Cl4

***

Q: Which of these has the lowest uncorrected energy?
A: YTmH2Cl4

***

Q: uncorrected energy of number 2 (YTmH2Cl4)?
A: -39.139 eV/cell